Compound: PmPr2Ho6Tm3
Source: the Alexandria database
Functional: PBE-GGA
Structure: optimized geometry

Results
Symmetry: No. 12
D(E_F) in states/eV/f.u.: 16.5
Electronic total energy in eV per atom: -4.5755

Lattice parameters (Å, degrees): 6.1658 6.1658 11.7677 95.00 95.00 119.95
With the nearest neighbours (Å) after each atom.
Fractional positions:
Pm1 0.0000 0.0000 0.0000  6 Pr 3.56, 6 Ho 3.60-3.61
Pr1 0.3333 0.6667 0.0000  3 Pm 3.56, 3 Pr 3.56, 6 Ho 3.60-3.61
Pr2 0.6667 0.3333 0.0000  3 Pm 3.56, 3 Pr 3.56, 6 Ho 3.60-3.61
Ho1 0.9138 0.5808 0.7445  3 Tm 3.50, 6 Ho 3.56, 2 Pr 3.60-3.61, 1 Pm 3.61
Ho2 0.7532 0.7532 0.2556  3 Tm 3.50, 6 Ho 3.56, 1 Pm 3.60, 2 Pr 3.61
Ho3 0.0862 0.4192 0.2555  3 Tm 3.50, 6 Ho 3.56, 2 Pr 3.60-3.61, 1 Pm 3.61
Ho4 0.5808 0.9138 0.7445  3 Tm 3.50, 6 Ho 3.56, 2 Pr 3.60-3.61, 1 Pm 3.61
Ho5 0.2468 0.2468 0.7444  3 Tm 3.50, 6 Ho 3.56, 1 Pm 3.60, 2 Pr 3.61
Ho6 0.4192 0.0862 0.2555  3 Tm 3.50, 6 Ho 3.56, 2 Pr 3.60-3.61, 1 Pm 3.61
Tm1 0.1666 0.8334 0.5000  6 Ho 3.50, 6 Tm 3.56
Tm2 0.8334 0.1666 0.5000  6 Ho 3.50, 6 Tm 3.56
Tm3 0.5000 0.5000 0.5000  6 Ho 3.50, 6 Tm 3.56

=====

Compound: Pm2Pr4HoTm2
Source: the Alexandria database
Functional: PBE-GGA
Structure: optimized geometry

Results
Symmetry: No. 12
D(E_F) in states/eV/f.u.: 14.9
Electronic total energy in eV per atom: -4.6568

Lattice parameters (Å, degrees): 5.1488 8.1443 8.0780 107.63 90.00 108.43
With the nearest neighbours (Å) after each atom.
Fractional positions:
Pm1 0.8883 0.7766 0.3292  3 Tm 3.60, 1 Ho 3.60, 7 Pr 3.63-3.68, 1 Pm 3.67
Pm2 0.1117 0.2234 0.6708  3 Tm 3.60, 1 Ho 3.60, 7 Pr 3.63-3.68, 1 Pm 3.67
Pr1 0.7779 0.5558 0.6708  3 Tm 3.59-3.60, 1 Ho 3.61, 3 Pm 3.64-3.68, 5 Pr 3.65-3.67
Pr2 0.2221 0.4442 0.3292  3 Tm 3.59-3.60, 1 Ho 3.61, 3 Pm 3.64-3.68, 5 Pr 3.65-3.67
Pr3 0.5543 0.1085 0.3293  2 Tm 3.60-3.62, 2 Ho 3.60, 4 Pm 3.63-3.67, 4 Pr 3.65-3.67
Pr4 0.4457 0.8915 0.6707  2 Tm 3.60-3.62, 2 Ho 3.60, 4 Pm 3.63-3.67, 4 Pr 3.65-3.67
Ho1 0.0000 0.0000 0.0000  6 Pr 3.60-3.61, 2 Pm 3.60, 4 Tm 3.65
Tm1 0.3328 0.6656 0.0003  5 Pr 3.59-3.62, 3 Pm 3.60, 2 Tm 3.63, 2 Ho 3.65
Tm2 0.6672 0.3344 0.9997  5 Pr 3.59-3.62, 3 Pm 3.60, 2 Tm 3.63, 2 Ho 3.65

=====

Compound: PmPr5HoTm2
Source: the Alexandria database
Functional: PBE-GGA
Structure: optimized geometry

Results
Symmetry: No. 36
D(E_F) in states/eV/f.u.: 14.4
Electronic total energy in eV per atom: -4.5405

Lattice parameters (Å, degrees): 5.6621 10.6652 10.8016 90.00 90.00 105.39
With the nearest neighbours (Å) after each atom.
Fractional positions:
Pm1 0.8000 0.6000 0.5102  2 Tm 3.43-3.67, 6 Pr 3.52-3.80, 2 Ho 3.64
Pm2 0.2000 0.4000 0.0102  2 Tm 3.43-3.67, 6 Pr 3.52-3.80, 2 Ho 3.64
Pr1 0.3870 0.7740 0.0231  6 Pr 3.59-3.93, 4 Tm 3.65-3.68, 1 Pm 3.85
Pr2 0.7195 0.4390 0.8111  1 Ho 3.10, 1 Tm 3.40, 2 Pr 3.44
Pr3 0.4824 0.9648 0.7441  2 Ho 3.25-3.41, 2 Tm 3.54, 2 Pr 3.59-3.60
Pr4 0.2955 0.5910 0.7037  2 Pr 3.44, 1 Ho 3.50, 2 Pm 3.52, 3 Tm 3.56-3.82
Pr5 0.9850 0.9699 0.5190  2 Ho 3.30, 3 Tm 3.51-3.59
Pr6 0.6130 0.2260 0.5231  6 Pr 3.59-3.93, 4 Tm 3.65-3.68, 1 Pm 3.85
Pr7 0.2805 0.5610 0.3111  1 Ho 3.10, 1 Tm 3.40, 2 Pr 3.44
Pr8 0.5176 0.0352 0.2441  2 Ho 3.25-3.41, 2 Tm 3.54, 2 Pr 3.59-3.60
Pr9 0.7045 0.4090 0.2037  2 Pr 3.44, 1 Ho 3.50, 2 Pm 3.52, 3 Tm 3.56-3.82
Pr10 0.0150 0.0301 0.0190  2 Ho 3.30, 3 Tm 3.51-3.59
Ho1 0.5915 0.1829 0.9620  5 Pr 3.10-3.41
Ho2 0.4085 0.8171 0.4620  5 Pr 3.10-3.41
Tm1 0.8848 0.7696 0.8095  9 Pr 3.40-3.75, 1 Pm 3.67
Tm2 0.1109 0.2218 0.7413  1 Pm 3.43, 7 Pr 3.53-3.82, 2 Ho 3.72
Tm3 0.1152 0.2304 0.3095  9 Pr 3.40-3.75, 1 Pm 3.67
Tm4 0.8891 0.7782 0.2413  1 Pm 3.43, 7 Pr 3.53-3.82, 2 Ho 3.72

=====

Compound: Pm4Pr2Ho2Tm
Source: the Alexandria database
Functional: PBE-GGA
Structure: optimized geometry

Results
Symmetry: No. 12
D(E_F) in states/eV/f.u.: 14.3
Electronic total energy in eV per atom: -4.6652

Lattice parameters (Å, degrees): 5.1274 8.1122 8.0641 107.59 90.00 108.42
With the nearest neighbours (Å) after each atom.
Fractional positions:
Pm1 0.7788 0.5576 0.6698  1 Tm 3.59, 3 Ho 3.60-3.61, 5 Pm 3.62-3.65, 3 Pr 3.63-3.65
Pm2 0.2212 0.4424 0.3302  1 Tm 3.59, 3 Ho 3.60-3.61, 5 Pm 3.62-3.65, 3 Pr 3.63-3.65
Pm3 0.5555 0.1110 0.3298  2 Ho 3.58-3.60, 2 Tm 3.60, 4 Pm 3.62-3.67, 4 Pr 3.63-3.65
Pm4 0.4445 0.8890 0.6702  2 Ho 3.58-3.60, 2 Tm 3.60, 4 Pm 3.62-3.67, 4 Pr 3.63-3.65
Pr1 0.8883 0.7765 0.3301  3 Ho 3.60, 1 Tm 3.60, 7 Pm 3.63-3.65, 1 Pr 3.65
Pr2 0.1117 0.2235 0.6699  3 Ho 3.60, 1 Tm 3.60, 7 Pm 3.63-3.65, 1 Pr 3.65
Ho1 0.3338 0.6676 0.9996  5 Pm 3.58-3.61, 3 Pr 3.60, 2 Tm 3.62, 2 Ho 3.64
Ho2 0.6662 0.3324 0.0004  5 Pm 3.58-3.61, 3 Pr 3.60, 2 Tm 3.62, 2 Ho 3.64
Tm1 0.0000 0.0000 0.0000  6 Pm 3.59-3.60, 2 Pr 3.60, 4 Ho 3.62

=====

Compound: PmPrHoTm2
Source: the Alexandria database
Functional: PBE-GGA
Structure: optimized geometry

Results
Symmetry: No. 63
D(E_F) in states/eV/f.u.: 7.6
Electronic total energy in eV per atom: -4.2637

Lattice parameters (Å, degrees): 6.3957 6.4018 8.9180 111.03 90.00 90.00
With the nearest neighbours (Å) after each atom.
Fractional positions:
Pm1 0.2500 0.8439 0.6877  1 Pr 3.10, 4 Tm 3.45, 2 Ho 3.45
Pm2 0.7500 0.1561 0.3123  1 Pr 3.10, 4 Tm 3.45, 2 Ho 3.45
Pr1 0.2500 0.6579 0.3159  1 Pm 3.10, 2 Ho 3.44, 4 Tm 3.46
Pr2 0.7500 0.3421 0.6841  1 Pm 3.10, 2 Ho 3.44, 4 Tm 3.46
Ho1 0.7500 0.7342 0.4684  4 Pr 3.44-3.67, 4 Pm 3.45-3.68
Ho2 0.2500 0.2658 0.5316  4 Pr 3.44-3.67, 4 Pm 3.45-3.68
Tm1 0.5000 0.2521 0.0000  4 Tm 3.17-3.23, 2 Pm 3.45, 2 Pr 3.46
Tm2 0.0000 0.7479 0.0000  4 Tm 3.17-3.23, 2 Pm 3.45, 2 Pr 3.46
Tm3 0.5000 0.7479 0.0000  4 Tm 3.17-3.23, 2 Pm 3.45, 2 Pr 3.46
Tm4 0.0000 0.2521 0.0000  4 Tm 3.17-3.23, 2 Pm 3.45, 2 Pr 3.46

=====

Compound: Pm3PrHoTm
Source: the Alexandria database
Functional: PBE-GGA
Structure: optimized geometry

Results
Symmetry: No. 11
D(E_F) in states/eV/f.u.: 9.0
Electronic total energy in eV per atom: -4.6563

Lattice parameters (Å, degrees): 5.1271 8.0605 10.8178 116.34 90.00 90.00
With the nearest neighbours (Å) after each atom.
Fractional positions:
Pm1 0.7500 0.8718 0.0422  3 Ho 3.59-3.60, 1 Tm 3.59, 5 Pm 3.62-3.66, 3 Pr 3.62-3.64
Pm2 0.2500 0.1282 0.9578  3 Ho 3.59-3.60, 1 Tm 3.59, 5 Pm 3.62-3.66, 3 Pr 3.62-3.64
Pm3 0.2500 0.6280 0.4573  1 Ho 3.58, 3 Tm 3.59, 5 Pm 3.62-3.66, 3 Pr 3.62-3.65
Pm4 0.7500 0.3720 0.5427  1 Ho 3.58, 3 Tm 3.59, 5 Pm 3.62-3.66, 3 Pr 3.62-3.65
Pm5 0.7500 0.3785 0.2078  1 Tm 3.58, 3 Ho 3.59, 6 Pm 3.62-3.66, 2 Pr 3.65
Pm6 0.2500 0.6215 0.7922  1 Tm 3.58, 3 Ho 3.59, 6 Pm 3.62-3.66, 2 Pr 3.65
Pr1 0.2500 0.1228 0.2924  3 Tm 3.59-3.60, 1 Ho 3.60, 8 Pm 3.62-3.65
Pr2 0.7500 0.8772 0.7076  3 Tm 3.59-3.60, 1 Ho 3.60, 8 Pm 3.62-3.65
Ho1 0.2500 0.6245 0.1250  7 Pm 3.58-3.60, 1 Pr 3.60, 2 Ho 3.62, 2 Tm 3.62
Ho2 0.7500 0.3755 0.8750  7 Pm 3.58-3.60, 1 Pr 3.60, 2 Ho 3.62, 2 Tm 3.62
Tm1 0.2500 0.1254 0.6251  5 Pm 3.58-3.59, 3 Pr 3.59-3.60, 2 Ho 3.62, 2 Tm 3.62
Tm2 0.7500 0.8746 0.3749  5 Pm 3.58-3.59, 3 Pr 3.59-3.60, 2 Ho 3.62, 2 Tm 3.62

=====

Compound: Pm5Pr2HoTm
Source: the Alexandria database
Functional: PBE-GGA
Structure: optimized geometry

Results
Symmetry: No. 140
D(E_F) in states/eV/f.u.: 13.1
Electronic total energy in eV per atom: -4.4350

Lattice parameters (Å, degrees): 8.6010 8.6010 10.3385 114.58 114.58 90.00
With the nearest neighbours (Å) after each atom.
Fractional positions:
Pm1 0.9250 0.4250 0.2883  1 Pr 3.09, 1 Tm 3.20
Pm2 0.6367 0.1367 0.7117  1 Pr 3.09, 1 Tm 3.20
Pm3 0.0750 0.5750 0.7117  1 Pr 3.09, 1 Tm 3.20
Pm4 0.1367 0.0750 0.7117  1 Pr 3.09, 1 Tm 3.20
Pm5 0.5750 0.6367 0.7117  1 Pr 3.09, 1 Tm 3.20
Pm6 0.8633 0.9250 0.2883  1 Pr 3.09, 1 Tm 3.20
Pm7 0.4250 0.3633 0.2883  1 Pr 3.09, 1 Tm 3.20
Pm8 0.3633 0.8633 0.2883  1 Pr 3.09, 1 Tm 3.20
Pm9 0.5000 0.5000 0.0000  4 Pr 3.42
Pm10 0.0000 0.0000 0.0000  4 Pr 3.42
Pr1 0.1221 0.3779 0.0000  1 Pr 2.97, 2 Pm 3.09
Pr2 0.6221 0.1221 0.0000  1 Pr 2.97, 2 Pm 3.09
Pr3 0.3779 0.8779 0.0000  1 Pr 2.97, 2 Pm 3.09
Pr4 0.8779 0.6221 0.0000  1 Pr 2.97, 2 Pm 3.09
Ho1 0.2500 0.2500 0.5000  8 Pm 3.54
Ho2 0.7500 0.7500 0.5000  8 Pm 3.54
Tm1 0.2500 0.7500 0.5000  4 Pm 3.20
Tm2 0.7500 0.2500 0.5000  4 Pm 3.20

=====

Compound: PmPr2Ho3Tm6
Source: the Alexandria database
Functional: PBE-GGA
Structure: optimized geometry

Results
Symmetry: No. 12
D(E_F) in states/eV/f.u.: 15.8
Electronic total energy in eV per atom: -4.5479

Lattice parameters (Å, degrees): 6.1538 6.1538 11.6937 95.03 95.03 119.95
With the nearest neighbours (Å) after each atom.
Fractional positions:
Pm1 0.0000 0.0000 0.0000  6 Pr 3.55, 6 Tm 3.57-3.58
Pr1 0.3333 0.6667 0.0000  3 Pr 3.55, 3 Pm 3.55, 6 Tm 3.57-3.58
Pr2 0.6667 0.3333 0.0000  3 Pr 3.55, 3 Pm 3.55, 6 Tm 3.57-3.58
Ho1 0.1666 0.8334 0.5000  6 Tm 3.49-3.50, 6 Ho 3.55-3.56
Ho2 0.8334 0.1666 0.5000  6 Tm 3.49-3.50, 6 Ho 3.55-3.56
Ho3 0.5000 0.5000 0.5000  6 Tm 3.49-3.50, 6 Ho 3.55
Tm1 0.9143 0.5813 0.7458  3 Ho 3.49-3.50, 6 Tm 3.55-3.56, 2 Pr 3.57-3.58, 1 Pm 3.58
Tm2 0.7526 0.7526 0.2543  3 Ho 3.49-3.50, 6 Tm 3.55-3.56, 1 Pm 3.57, 2 Pr 3.58
Tm3 0.0857 0.4187 0.2542  3 Ho 3.49-3.50, 6 Tm 3.55-3.56, 2 Pr 3.57-3.58, 1 Pm 3.58
Tm4 0.5813 0.9143 0.7458  3 Ho 3.49-3.50, 6 Tm 3.55-3.56, 2 Pr 3.57-3.58, 1 Pm 3.58
Tm5 0.2474 0.2474 0.7457  3 Ho 3.49-3.50, 6 Tm 3.55-3.56, 1 Pm 3.57, 2 Pr 3.58
Tm6 0.4187 0.0857 0.2542  3 Ho 3.49-3.50, 6 Tm 3.55-3.56, 2 Pr 3.57-3.58, 1 Pm 3.58

=====

Compound: Pm6PrHoTm2
Source: the Alexandria database
Functional: PBE-GGA
Structure: optimized geometry

Results
Symmetry: No. 15
D(E_F) in states/eV/f.u.: 15.0
Electronic total energy in eV per atom: -4.5633

Lattice parameters (Å, degrees): 9.6837 8.8977 8.8977 117.35 94.05 94.05
With the nearest neighbours (Å) after each atom.
Fractional positions:
Pm1 0.0549 0.1110 0.7599  7 Pm 3.43-3.82, 1 Tm 3.46, 2 Ho 3.66-3.80
Pm2 0.4451 0.2401 0.8890  7 Pm 3.43-3.82, 1 Tm 3.46, 2 Ho 3.66-3.80
Pm3 0.9451 0.8890 0.2401  7 Pm 3.43-3.82, 1 Tm 3.46, 2 Ho 3.66-3.80
Pm4 0.5549 0.7599 0.1110  7 Pm 3.43-3.82, 1 Tm 3.46, 2 Ho 3.66-3.80
Pm5 0.3175 0.9823 0.4346  2 Pm 3.25-3.59, 1 Tm 3.48, 1 Pr 3.50, 1 Ho 3.56
Pm6 0.1825 0.5654 0.0177  2 Pm 3.25-3.59, 1 Tm 3.48, 1 Pr 3.50, 1 Ho 3.56
Pm7 0.6825 0.0177 0.5654  2 Pm 3.25-3.59, 1 Tm 3.48, 1 Pr 3.50, 1 Ho 3.56
Pm8 0.8175 0.4346 0.9823  2 Pm 3.25-3.59, 1 Tm 3.48, 1 Pr 3.50, 1 Ho 3.56
Pm9 0.1200 0.7054 0.4900  3 Pm 3.25-3.43, 3 Tm 3.32-3.48, 2 Pr 3.48-3.58
Pm10 0.3800 0.5100 0.2946  3 Pm 3.25-3.43, 3 Tm 3.32-3.48, 2 Pr 3.48-3.58
Pm11 0.8800 0.2946 0.5100  3 Pm 3.25-3.43, 3 Tm 3.32-3.48, 2 Pr 3.48-3.58
Pm12 0.6200 0.4900 0.7054  3 Pm 3.25-3.43, 3 Tm 3.32-3.48, 2 Pr 3.48-3.58
Pr1 0.2500 0.4063 0.5937  6 Pm 3.48-3.58, 2 Tm 3.59
Pr2 0.7500 0.5937 0.4063  6 Pm 3.48-3.58, 2 Tm 3.59
Ho1 0.2500 0.9700 0.0300  4 Tm 3.41-3.42, 6 Pm 3.56-3.80
Ho2 0.7500 0.0300 0.9700  4 Tm 3.41-3.42, 6 Pm 3.56-3.80
Tm1 0.4534 0.8041 0.7072  6 Pm 3.32-3.68, 2 Ho 3.41-3.42, 1 Pr 3.59
Tm2 0.0466 0.2928 0.1959  6 Pm 3.32-3.68, 2 Ho 3.41-3.42, 1 Pr 3.59
Tm3 0.5466 0.1959 0.2928  6 Pm 3.32-3.68, 2 Ho 3.41-3.42, 1 Pr 3.59
Tm4 0.9534 0.7072 0.8041  6 Pm 3.32-3.68, 2 Ho 3.41-3.42, 1 Pr 3.59

=====

Compound: PmPr2HoTm
Source: the Alexandria database
Functional: PBE-GGA
Structure: optimized geometry

Results
Symmetry: No. 63
D(E_F) in states/eV/f.u.: 6.8
Electronic total energy in eV per atom: -4.2760

Lattice parameters (Å, degrees): 7.3336 8.4978 7.1949 126.20 90.00 90.00
With the nearest neighbours (Å) after each atom.
Fractional positions:
Pm1 0.2500 0.7254 0.4509  1 Tm 3.10
Pm2 0.7500 0.2746 0.5491  1 Tm 3.10
Pr1 0.5000 0.3049 0.0000  2 Tm 3.18, 1 Pr 3.32
Pr2 0.0000 0.6951 0.0000  2 Tm 3.18, 1 Pr 3.32
Pr3 0.5000 0.6951 0.0000  2 Tm 3.18, 1 Pr 3.32
Pr4 0.0000 0.3049 0.0000  2 Tm 3.18, 1 Pr 3.32
Ho1 0.7500 0.7334 0.4668  1 Tm 3.19
Ho2 0.2500 0.2666 0.5332  1 Tm 3.19
Tm1 0.2500 0.9920 0.9840  1 Pm 3.10, 4 Pr 3.18, 1 Ho 3.19
Tm2 0.7500 0.0080 0.0160  1 Pm 3.10, 4 Pr 3.18, 1 Ho 3.19

=====

Compound: Pm6Pr3HoTm2
Source: the Alexandria database
Functional: PBE-GGA
Structure: optimized geometry

Results
Symmetry: No. 12
D(E_F) in states/eV/f.u.: 16.4
Electronic total energy in eV per atom: -4.6772

Lattice parameters (Å, degrees): 6.2964 6.2964 11.9960 95.02 95.02 120.01
With the nearest neighbours (Å) after each atom.
Fractional positions:
Pm1 0.9183 0.5847 0.7561  2 Tm 3.56, 1 Ho 3.57, 6 Pm 3.63-3.64, 3 Pr 3.68
Pm2 0.7480 0.7480 0.2438  1 Ho 3.56, 2 Tm 3.56, 6 Pm 3.63-3.64, 3 Pr 3.68
Pm3 0.0817 0.4153 0.2439  2 Tm 3.56, 1 Ho 3.57, 6 Pm 3.63-3.64, 3 Pr 3.68
Pm4 0.5847 0.9183 0.7561  2 Tm 3.56, 1 Ho 3.57, 6 Pm 3.63-3.64, 3 Pr 3.68
Pm5 0.2520 0.2520 0.7562  1 Ho 3.56, 2 Tm 3.56, 6 Pm 3.63-3.64, 3 Pr 3.68
Pm6 0.4153 0.0817 0.2439  2 Tm 3.56, 1 Ho 3.57, 6 Pm 3.63-3.64, 3 Pr 3.68
Pr1 0.1667 0.8333 0.5000  6 Pr 3.63-3.64, 6 Pm 3.68
Pr2 0.8333 0.1667 0.5000  6 Pr 3.63-3.64, 6 Pm 3.68
Pr3 0.5000 0.5000 0.5000  6 Pr 3.63-3.64, 6 Pm 3.68
Ho1 0.0000 0.0000 0.0000  6 Pm 3.56-3.57, 6 Tm 3.63-3.64
Tm1 0.3333 0.6667 0.0000  6 Pm 3.56, 3 Tm 3.63-3.64, 3 Ho 3.63-3.64
Tm2 0.6667 0.3333 0.0000  6 Pm 3.56, 3 Tm 3.63-3.64, 3 Ho 3.63-3.64

=====

For each record above, in turn, the calculated energy of formation from the pure elements values are 0.02, 0.03, 0.14, 0.02, 0.35, 0.02, 0.27, 0.02, 0.12, 0.40, 0.02 eV per atom.